[1]
A relaxed CsNaBi crystal, computed with PBE.

a b c (Å): 3.974 5.956 5.956
angles (deg): 120.00 90.00 90.00
Element x y z (fractional)
1 Cs 0.666 0.333 0.667
2 Na 0.168 0.667 0.333
3 Bi 0.166 0.000 0.000

Summary:
Space group: No. 156
Offset from the most stable computed form, meV/atom: 76
E, eV per atom: -2.28
Energy of formation from the pure elements, eV per atom: -0.2579


[2]
A relaxed Y2Er4Fe23 crystal, computed with PBE.

a b c (Å): 8.467 8.467 8.467
angles (deg): 120.08 120.08 89.86
Element x y z (fractional)
1 Y 0.708 0.292 0.000
2 Y 0.292 0.292 0.583
3 Er 0.290 0.290 0.000
4 Er 0.291 0.710 0.000
5 Er 0.709 0.710 0.419
6 Er 0.710 0.710 0.000
7 Fe 0.324 0.973 0.649
8 Fe 0.325 0.675 0.350
9 Fe 0.325 0.676 0.649
10 Fe 0.026 0.676 0.351
11 Fe 0.675 0.025 0.350
12 Fe 0.676 0.325 0.649
13 Fe 0.675 0.325 0.351
14 Fe 0.974 0.325 0.649
15 Fe 0.000 0.000 0.000
16 Fe 0.123 0.366 0.243
17 Fe 0.121 0.879 0.757
18 Fe 0.121 0.877 0.242
19 Fe 0.635 0.877 0.756
20 Fe 0.879 0.636 0.757
21 Fe 0.877 0.121 0.243
22 Fe 0.879 0.121 0.756
23 Fe 0.365 0.121 0.242
24 Fe 0.501 0.501 0.500
25 Fe 0.001 0.501 0.000
26 Fe 0.000 0.501 0.501
27 Fe 0.999 0.999 0.500
28 Fe 0.499 0.999 0.000
29 Fe 0.500 0.999 0.499

Summary:
Space group: No. 44
E, eV per atom: -7.85
Energy of formation from the pure elements, eV per atom: -0.0644


[3]
A relaxed Sr6MgHg5 crystal, computed with PBE.

a b c (Å): 5.695 8.019 9.897
angles (deg): 113.90 106.72 90.00
Element x y z (fractional)
1 Sr 0.830 0.575 0.660
2 Sr 0.830 0.084 0.660
3 Sr 0.500 0.740 0.000
4 Sr 0.500 0.260 0.000
5 Sr 0.170 0.916 0.340
6 Sr 0.170 0.425 0.340
7 Mg 0.000 0.000 0.000
8 Hg 0.657 0.157 0.314
9 Hg 0.333 0.333 0.666
10 Hg 0.000 0.500 0.000
11 Hg 0.667 0.667 0.334
12 Hg 0.343 0.843 0.686

Summary:
Space group: No. 71
E, eV per atom: -1.55
Energy of formation from the pure elements, eV per atom: -0.4530


[4]
A relaxed LiPr2Ga4Cu3 crystal, computed with PBE.

a b c (Å): 4.295 4.295 10.079
angles (deg): 90.00 90.00 90.00
Element x y z (fractional)
1 Li 0.500 0.500 0.500
2 Pr 0.500 0.000 0.250
3 Pr 0.000 0.500 0.750
4 Ga 0.500 0.500 0.000
5 Ga 0.000 0.000 0.000
6 Ga 0.500 0.000 0.632
7 Ga 0.000 0.500 0.368
8 Cu 0.000 0.000 0.500
9 Cu 0.500 0.000 0.871
10 Cu 0.000 0.500 0.129

Summary:
Space group: No. 115
E, eV per atom: -4.00
Energy of formation from the pure elements, eV per atom: -0.4160


[5]
A relaxed B crystal, computed with PBE.

a b c (Å): 1.609 4.712 4.710
angles (deg): 80.74 89.46 89.75
Element x y z (fractional)
1 B 0.254 0.896 0.897
2 B 0.746 0.104 0.103

Summary:
Space group: No. 2
Offset from the most stable computed form, meV/atom: 636
E, eV per atom: -6.04
Energy of formation from the pure elements, eV per atom: 0.6362


[6]
A relaxed BeMoIr2 crystal, computed with PBE.

a b c (Å): 2.795 2.795 6.734
angles (deg): 90.00 90.00 90.00
Element x y z (fractional)
1 Be 0.500 0.500 0.771
2 Mo 0.000 0.000 0.529
3 Ir 0.000 0.000 0.953
4 Ir 0.500 0.500 0.247

Summary:
Space group: No. 99
E, eV per atom: -8.29
Energy of formation from the pure elements, eV per atom: -0.2239